Record 1
Density functional theory data (GGA-PBE) for a relaxed structure of TaTlF2.

POSCAR file:
```
TaTlF2
1.0
-5.054 5.317 5.639
-3.274 7.556 4.220
-5.943 6.510 2.814
Tl F Ta
1 2 1
Cartesian
-7.136 9.691 6.336
-13.267 18.018 11.780
-1.005 1.364 0.892
0.000 0.000 0.000
```

- total magnetization (μB per formula unit) = 0.00
- V (Å³ per cell) = 80.03
- raw total energy (eV/atom) = -6.0286
- E_form (uncorrected) (eV per formula unit) = -6.15
- crystal system = trigonal
- E above lowest polymorph (meV/atom) = 0


Record 2
Density functional theory data (GGA-PBE) for a relaxed structure of TaTl6F12.

POSCAR file:
```
TaTl6F12
1.0
7.699 -0.425 -0.876
-0.932 7.654 -0.876
-0.398 -0.425 7.738
Ta Tl F
1 6 12
Cartesian
0.000 0.000 0.000
0.651 2.271 4.240
4.384 2.391 5.599
1.999 6.004 4.029
5.718 4.532 1.745
1.985 4.413 0.387
4.370 0.800 1.957
2.899 1.017 3.981
0.740 4.211 2.647
4.024 2.960 0.575
3.469 5.787 2.005
5.628 2.593 3.339
2.344 3.844 5.411
-1.022 6.754 5.017
0.940 7.378 -0.497
-0.044 1.425 7.316
7.390 0.050 0.969
5.428 -0.574 6.483
6.413 5.379 -1.330
```

- total magnetization (μB per formula unit) = 0.00
- V (Å³ per cell) = 446.89
- raw total energy (eV/atom) = -4.8015
- E_form (uncorrected) (eV per formula unit) = -42.72
- crystal system = trigonal